1.
Below is an optimized crystal structure of IrRh3, with properties calculated at the GGA-PBE level.

Properties
total moment = 0.0 Bohr magnetons per cell
DFT formation energy = -0.028 eV per formula unit
DFT total energy = -0.56858 Ry/atom

Unit cell a=5.431 b=7.705 c=2.723 alpha=90.00 beta=90.00 gamma=90.00
Space group Cmmm (No. 65)
Symmetry-distinct sites (fractional):
Ir 0.000 0.000 0.000 [2 per cell]
Rh 0.000 0.500 0.000 [2 per cell]
Rh 0.250 0.250 0.500 [4 per cell]

***

2.
Below is an optimized crystal structure of AcGdNi, with properties calculated at the GGA-PBE level.

Properties
total moment = 14.6 Bohr magnetons per cell
DFT formation energy = -0.340 eV per formula unit
DFT total energy = -0.59561 Ry/atom

Unit cell a=3.609 b=3.609 c=12.994 alpha=90.00 beta=90.00 gamma=90.00
Space group I4mm (No. 107)
Symmetry-distinct sites (fractional):
Ac 0.000 0.000 0.000 [2 per cell]
Gd 0.000 0.000 0.259 [2 per cell]
Ni 0.000 0.000 0.650 [2 per cell]

***

3.
Below is an optimized crystal structure of AcAl12Zn6, with properties calculated at the GGA-PBE level.

Properties
total moment = 0.0 Bohr magnetons per cell
DFT formation energy = 0.809 eV per formula unit
DFT total energy = -0.21606 Ry/atom

Unit cell a=12.0035 b=12.0035 c=8.5803 alpha=90.00 beta=90.00 gamma=120.00
Space group R-3m (No. 166, hexagonal axes)
Symmetry-distinct sites (fractional):
Ac 0.0000 0.0000 0.0000 [3 per cell]
Al 0.0000 0.3912 0.5000 [18 per cell]
Al 0.0794 0.1588 0.3463 [18 per cell]
Zn 0.0087 0.5044 0.2362 [18 per cell]

***

4.
Below is an optimized crystal structure of SiSbWI2, with properties calculated at the GGA-PBE level.

Properties
total moment = 3.1 Bohr magnetons per cell
formation energy from raw total energies = 1.690 eV/atom
DFT total energy = -0.25208 Ry/atom

Unit cell a=6.018 b=6.018 c=5.417 alpha=90.00 beta=90.00 gamma=90.00
Space group P4/mmm (No. 123)
Symmetry-distinct sites (fractional):
Si 0.000 0.000 0.000 [1 per cell]
Sb 0.500 0.500 0.500 [1 per cell]
W 0.500 0.500 0.000 [1 per cell]
I 0.000 0.500 0.500 [2 per cell]

***

5.
Below is an optimized crystal structure of LiLaSi2Pt5, with properties calculated at the GGA-PBE level.

Properties
total moment = 0.0 Bohr magnetons per cell
formation energy from raw total energies = -0.751 eV/atom
DFT total energy = -0.44630 Ry/atom

Unit cell a=4.102 b=4.102 c=10.065 alpha=90.00 beta=90.00 gamma=90.00
Space group P4/mmm (No. 123)
Symmetry-distinct sites (fractional):
Li 0.000 0.000 0.000 [1 per cell]
La 0.000 0.000 0.500 [1 per cell]
Si 0.500 0.500 0.265 [2 per cell]
Pt 0.000 0.500 0.150 [4 per cell]
Pt 0.500 0.500 0.500 [1 per cell]

***

6.
Below is an optimized crystal structure of Ac3Pr4Se8, with properties calculated at the GGA-PBE level.

Properties
total moment = 0.0 Bohr magnetons per cell
formation energy from raw total energies = -1.878 eV/atom
DFT total energy = -0.42868 Ry/atom

Unit cell a=12.305 b=12.317 c=8.639 alpha=90.00 beta=134.53 gamma=90.00
Space group C2/m (No. 12)
Symmetry-distinct sites (fractional):
Ac 0.000 0.000 0.000 [2 per cell]
Ac 0.250 0.250 0.500 [4 per cell]
Pr 0.000 0.500 0.000 [2 per cell]
Pr 0.000 0.500 0.500 [2 per cell]
Pr 0.250 0.250 0.000 [4 per cell]
Se 0.000 0.252 0.500 [4 per cell]
Se 0.000 0.254 0.000 [4 per cell]
Se 0.243 0.500 0.492 [4 per cell]
Se 0.245 0.500 0.997 [4 per cell]

***

7.
Below is an optimized crystal structure of GaAgSe2Br, with properties calculated at the GGA-PBE level.

Properties
total moment = 0.0 Bohr magnetons per cell
formation energy from raw total energies = 0.198 eV/atom
DFT total energy = -0.19890 Ry/atom

Unit cell a=4.960 b=4.960 c=5.375 alpha=90.00 beta=90.00 gamma=90.00
Space group P4/mmm (No. 123)
Symmetry-distinct sites (fractional):
Ga 0.000 0.000 0.000 [1 per cell]
Ag 0.500 0.500 0.500 [1 per cell]
Se 0.000 0.500 0.000 [2 per cell]
Br 0.000 0.000 0.500 [1 per cell]

***

8.
Below is an optimized crystal structure of NdIn2Pt, with properties calculated at the GGA-PBE level.

Properties
total moment = 0.0 Bohr magnetons per cell
DFT formation energy = -2.863 eV per formula unit
DFT total energy = -0.35184 Ry/atom

Unit cell a=16.910 b=7.635 c=5.826 alpha=90.00 beta=90.00 gamma=90.00
Space group Pnma (No. 62)
Symmetry-distinct sites (fractional):
Nd 0.106 0.250 0.233 [4 per cell]
Nd 0.145 0.750 0.470 [4 per cell]
In 0.033 0.049 0.738 [8 per cell]
In 0.215 0.551 0.972 [8 per cell]
Pt 0.073 0.750 0.988 [4 per cell]
Pt 0.172 0.250 0.729 [4 per cell]

***

9.
Below is an optimized crystal structure of NaAcCdAu, with properties calculated at the GGA-PBE level.

Properties
total moment = 0.0 Bohr magnetons per cell
DFT formation energy = -1.452 eV per formula unit
DFT total energy = -0.20345 Ry/atom

Unit cell a=7.656 b=7.656 c=7.656 alpha=90.00 beta=90.00 gamma=90.00
Space group F-43m (No. 216)
Symmetry-distinct sites (fractional):
Na 0.000 0.000 0.000 [4 per cell]
Ac 0.000 0.000 0.500 [4 per cell]
Cd 0.250 0.250 0.250 [4 per cell]
Au 0.250 0.250 0.750 [4 per cell]

***

Repeat the eighth record exactly.
Below is an optimized crystal structure of NdIn2Pt, with properties calculated at the GGA-PBE level.

Properties
total moment = 0.0 Bohr magnetons per cell
DFT formation energy = -2.863 eV per formula unit
DFT total energy = -0.35184 Ry/atom

Unit cell a=16.910 b=7.635 c=5.826 alpha=90.00 beta=90.00 gamma=90.00
Space group Pnma (No. 62)
Symmetry-distinct sites (fractional):
Nd 0.106 0.250 0.233 [4 per cell]
Nd 0.145 0.750 0.470 [4 per cell]
In 0.033 0.049 0.738 [8 per cell]
In 0.215 0.551 0.972 [8 per cell]
Pt 0.073 0.750 0.988 [4 per cell]
Pt 0.172 0.250 0.729 [4 per cell]